A geometry-optimized MgHBr structure, computed with PBE.

The space group is Pbca (No. 61) and the conventional cell measures 5.614, 6.540 and 13.467 Å, with angles of 90.00, 90.00 and 90.00 degrees. Symmetry generates all atoms from Mg at (0.212, 0.130, 0.038), H at (0.075, 0.643, 0.542) and Br at (0.044, 0.581, 0.861).

As for the electronic total energy: -2.98 eV/atom. The density of states at the Fermi level is 0.00 states/eV/cell. Its density is 2.83 g/cm³.